Version w
This record from the Alexandria database describes a geometry-optimized Sm8ZnHg2 structure. The functional is GGA-PBE.

a b c (Å): 5.295 7.007 9.625
angles (deg): 105.80 105.97 90.00
Fractional positions:
1 Sm 0.981 0.226 0.962
2 Sm 0.338 0.022 0.675
3 Sm 0.019 0.774 0.038
4 Zn 0.500 0.000 0.000
5 Sm 0.662 0.978 0.325
6 Sm 0.591 0.459 0.181
7 Hg 0.181 0.729 0.361
8 Hg 0.819 0.271 0.639
9 Sm 0.409 0.541 0.819
10 Sm 0.801 0.687 0.603
11 Sm 0.199 0.313 0.397

Calculated values
Magnetic moment in μB per cell: 0.00
Mass density in g cm⁻³: 8.4

---

Version x
This record from the Alexandria database describes a geometry-optimized Sm8ZnHg2 structure. The functional is GGA-PBE.

a b c (Å): 5.369 6.738 9.446
angles (deg): 92.50 106.51 90.00
Fractional positions:
1 Sm 0.032 0.764 0.064
2 Sm 0.790 0.412 0.581
3 Sm 0.210 0.588 0.419
4 Sm 0.329 0.096 0.658
5 Sm 0.408 0.594 0.816
6 Sm 0.671 0.904 0.342
7 Hg 0.847 0.858 0.694
8 Sm 0.968 0.236 0.936
9 Sm 0.592 0.406 0.184
10 Zn 0.500 0.000 0.000
11 Hg 0.153 0.142 0.306

Calculated values
Magnetic moment in μB per cell: 0.00
Mass density in g cm⁻³: 8.5

---

Computed energies relative to the best structure, in meV/atom: version w 16; version x 0

---

Version w
This record from the Alexandria database describes a geometry-optimized Sm8Zn2Hg structure. The functional is GGA-PBE.

a b c (Å): 5.064 8.445 8.919
angles (deg): 118.26 106.49 90.00
Fractional positions:
1 Hg 0.500 0.000 0.000
2 Sm 0.664 0.883 0.329
3 Sm 0.336 0.555 0.671
4 Sm 0.000 0.319 0.000
5 Sm 0.664 0.445 0.329
6 Sm 0.136 0.136 0.273
7 Sm 0.864 0.864 0.727
8 Sm 0.000 0.681 0.000
9 Zn 0.807 0.307 0.614
10 Sm 0.336 0.117 0.671
11 Zn 0.193 0.693 0.386

Calculated values
Magnetic moment in μB per cell: 0.00
Mass density in g cm⁻³: 8.0

---

Version x
This record from the Alexandria database describes a geometry-optimized Sm8Zn2Hg structure. The functional is GGA-PBE.

a b c (Å): 5.156 7.257 9.450
angles (deg): 107.20 105.83 90.00
Fractional positions:
1 Zn 0.186 0.707 0.371
2 Zn 0.814 0.293 0.629
3 Sm 0.329 0.031 0.658
4 Sm 0.030 0.764 0.059
5 Sm 0.196 0.312 0.392
6 Sm 0.804 0.688 0.608
7 Sm 0.970 0.236 0.941
8 Sm 0.671 0.969 0.342
9 Hg 0.500 0.000 0.000
10 Sm 0.591 0.465 0.183
11 Sm 0.409 0.535 0.817

Calculated values
Magnetic moment in μB per cell: 0.00
Mass density in g cm⁻³: 7.9

---

Computed energies relative to the best structure, in meV/atom: version w 60; version x 0